1.
TiBNO2: optimized geometry, PBE.

Crystal system: tetragonal
Mass density (g cm⁻³): 4.672

Cell and atoms, written as POSCAR:
```
TiBNO2
1.0
3.241 0.000 0.000
0.000 3.241 0.000
0.000 0.000 3.543
Ti B N O
1 1 1 2
Cartesian
0.000 0.000 0.000 Ti
1.620 1.620 1.772 B
1.620 1.620 0.000 N
0.000 1.620 1.772 O
1.620 0.000 1.772 O
```


2.
Ti2BNO: optimized geometry, PBE.

Crystal system: tetragonal
Mass density (g cm⁻³): 4.604

Cell and atoms, written as POSCAR:
```
Ti2BNO
1.0
4.084 0.000 0.000
0.000 4.084 0.000
0.000 0.000 2.953
Ti B N O
2 1 1 1
Cartesian
0.000 2.042 0.000 Ti
2.042 0.000 0.000 Ti
0.000 0.000 1.476 B
2.042 2.042 1.476 N
0.000 0.000 0.000 O
```


Uncorrected formation energy per entry: -4.63; -1.15 eV per formula unit
Spin magnetization per entry: 0.00; 0.00 μB per formula unit